[1]
DFT (GGA-PBE) results for a relaxed structure of Er5Si3B.

Geometry as POSCAR:
```
Er5Si3B
1.0
8.452 0.000 0.000
-4.226 7.320 0.000
0.000 0.000 6.280
Er Si B
10 6 2
direct
0.000 0.239 0.250
0.000 0.761 0.750
0.239 0.000 0.250
0.239 0.239 0.750
0.333 0.667 0.000
0.333 0.667 0.500
0.667 0.333 0.000
0.667 0.333 0.500
0.761 0.000 0.750
0.761 0.761 0.250
0.000 0.400 0.750
0.000 0.600 0.250
0.400 0.000 0.750
0.400 0.400 0.250
0.600 0.000 0.250
0.600 0.600 0.750
0.000 0.000 0.000
0.000 0.000 0.500
```

Symmetry: P6_3/mcm, No. 193
Formation energy without anion corrections in eV/atom: -0.55

[2]
DFT (GGA-PBE) results for a relaxed structure of Ti6PdRh5.

Geometry as POSCAR:
```
Ti6PdRh5
1.0
-2.076 3.502 6.230
2.076 -3.502 6.230
2.076 3.502 -6.230
Ti Pd Rh
6 1 5
direct
0.078 0.332 0.746
0.241 0.000 0.241
0.414 0.668 0.746
0.586 0.332 0.254
0.759 0.000 0.759
0.922 0.668 0.254
0.500 0.500 0.000
0.000 0.500 0.500
0.170 0.170 0.000
0.338 0.838 0.500
0.662 0.162 0.500
0.830 0.830 0.000
```

Symmetry: Immm, No. 71
ΔE_f in meV/atom: -705

[3]
DFT (GGA-PBE) results for a relaxed structure of Dy6SbP2S3.

Geometry as POSCAR:
```
Dy6SbP2S3
1.0
8.768 -2.011 0.000
8.768 2.011 0.000
-1.792 0.000 7.877
Dy Sb P S
6 1 2 3
direct
0.004 0.004 0.271
0.326 0.326 0.902
0.330 0.330 0.421
0.670 0.670 0.579
0.674 0.674 0.098
0.996 0.996 0.729
0.500 0.500 0.000
0.168 0.168 0.336
0.832 0.832 0.664
0.164 0.164 0.833
0.500 0.500 0.500
0.836 0.836 0.167
```

Symmetry: C2/m, No. 12
Formation energy without anion corrections in eV/atom: -1.73